Record 1
This record from Alexandria describes an optimized crystal structure of La2NdScO. The functional is PBE.

Computed properties:
* space group: P4/mmm
* formation energy without anion corrections: -1134.1 meV/atom
* energy: -6.317 eV per atom

a = 5.426 Å, b = 5.426 Å, c = 4.338 Å
α = 90.00°, β = 90.00°, γ = 90.00°
Positions (direct):
La1 0.000 0.500 0.000
La2 0.500 0.000 0.000
Nd1 0.000 0.000 0.500
Sc1 0.500 0.500 0.500
O1 0.500 0.500 0.000

=====

Record 2
This record from Alexandria describes an optimized crystal structure of Ti2TeOsSe. The functional is PBE.

Computed properties:
* space group: P4/mmm
* formation energy without anion corrections: 495.7 meV/atom
* energy: -6.234 eV per atom
* offset from the most stable computed form: 0.0 meV per atom

a = 5.008 Å, b = 5.008 Å, c = 4.839 Å
α = 90.00°, β = 90.00°, γ = 90.00°
Positions (direct):
Ti1 0.000 0.500 0.000
Ti2 0.500 0.000 0.000
Te1 0.000 0.000 0.500
Os1 0.000 0.000 0.000
Se1 0.500 0.500 0.500

=====

Record 3
This record from Alexandria describes an optimized crystal structure of TcSeO2F. The functional is PBE.

Computed properties:
* space group: P4/mmm
* formation energy without anion corrections: 155.4 meV/atom
* energy: -4.972 eV per atom

a = 3.943 Å, b = 3.943 Å, c = 4.546 Å
α = 90.00°, β = 90.00°, γ = 90.00°
Positions (direct):
Tc1 0.000 0.000 0.000
Se1 0.500 0.500 0.500
O1 0.000 0.500 0.500
O2 0.500 0.000 0.500
F1 0.500 0.500 0.000

=====

Record 4
This record from Alexandria describes an optimized crystal structure of NaZr2TlSn. The functional is PBE.

Computed properties:
* energy relative to the elements: 845.9 meV per atom
* space group: P4/mmm
* energy: -4.111 eV per atom

a = 5.456 Å, b = 5.456 Å, c = 5.772 Å
α = 90.00°, β = 90.00°, γ = 90.00°
Positions (direct):
Na1 0.000 0.000 0.000
Zr1 0.000 0.500 0.500
Zr2 0.500 0.000 0.500
Tl1 0.500 0.500 0.000
Sn1 0.500 0.500 0.500

=====

Record 5
This record from Alexandria describes an optimized crystal structure of MgSbSe. The functional is PBE.

Computed properties:
* space group: Cm
* formation energy without anion corrections: -711.0 meV/atom
* energy: -3.778 eV per atom

a = 4.244 Å, b = 4.244 Å, c = 11.010 Å
α = 101.19°, β = 101.19°, γ = 60.09°
Positions (direct):
Mg1 0.000 0.000 0.000
Mg2 0.557 0.557 0.676
Sb1 0.120 0.120 0.368
Sb2 0.403 0.403 0.217
Se1 0.640 0.640 0.922
Se2 0.863 0.863 0.594

=====

Record 6
This record from Alexandria describes an optimized crystal structure of Sr3TaTl3Se8. The functional is PBE.

Computed properties:
* space group: R-3m
* formation energy without anion corrections: -1052.1 meV/atom
* energy: -4.510 eV per atom

a = 8.739 Å, b = 8.739 Å, c = 8.739 Å
α = 60.39°, β = 60.39°, γ = 60.39°
Positions (direct):
Sr1 0.000 0.500 0.500
Sr2 0.500 0.000 0.500
Sr3 0.500 0.500 0.000
Ta1 0.000 0.000 0.000
Tl1 0.000 0.000 0.500
Tl2 0.000 0.500 0.000
Tl3 0.500 0.000 0.000
Se1 0.208 0.789 0.789
Se2 0.211 0.211 0.792
Se3 0.211 0.792 0.211
Se4 0.255 0.255 0.255
Se5 0.745 0.745 0.745
Se6 0.789 0.208 0.789
Se7 0.789 0.789 0.208
Se8 0.792 0.211 0.211

=====

Record 7
This record from Alexandria describes an optimized crystal structure of TbCe3Mn. The functional is PBE.

Computed properties:
* energy relative to the elements: 158.9 meV per atom
* space group: Pm-3m
* energy: -6.161 eV per atom

a = 5.163 Å, b = 5.163 Å, c = 5.163 Å
α = 90.00°, β = 90.00°, γ = 90.00°
Positions (direct):
Tb1 0.000 0.000 0.000
Ce1 0.000 0.500 0.500
Ce2 0.500 0.000 0.500
Ce3 0.500 0.500 0.000
Mn1 0.500 0.500 0.500

=====

Record 8
This record from Alexandria describes an optimized crystal structure of Er5Tl6Zn. The functional is PBE.

Computed properties:
* energy relative to the elements: -251.2 meV per atom
* space group: Immm
* energy: -3.442 eV per atom

a = 8.948 Å, b = 8.948 Å, c = 8.948 Å
α = 148.85°, β = 120.87°, γ = 68.35°
Positions (direct):
Er1 0.000 0.000 0.000
Er2 0.178 0.678 0.500
Er3 0.364 0.364 0.000
Er4 0.636 0.636 0.000
Er5 0.822 0.322 0.500
Tl1 0.075 0.830 0.245
Tl2 0.234 0.500 0.734
Tl3 0.414 0.170 0.245
Tl4 0.586 0.830 0.755
Tl5 0.766 0.500 0.266
Tl6 0.925 0.170 0.755
Zn1 0.500 0.000 0.500

=====

What is the energy in the fourth record? -4.111 eV per atom

=====

What is the formula in the first record? La2NdScO

=====

The highest energy belongs to which entry? Er5Tl6Zn